# PBE Pm2Sm4Tl, relaxed
data_Pm2Sm4Tl
_chemical_formula_sum 'Pm4 Sm8 Tl2'
_space_group_name_H-M_alt 'P 1 21/m 1'
_space_group_IT_number 11
_space_group_name_Hall '-P 2yb'
_cell_length_a 5.8450
_cell_length_b 6.8144
_cell_length_c 11.7690
_cell_angle_alpha 90.00
_cell_angle_beta 103.45
_cell_angle_gamma 90.00
loop_
_atom_site_label
_atom_site_fract_x
_atom_site_fract_y
_atom_site_fract_z
Pm1 0.0239 0.2500 0.4758
Pm2 0.3373 0.7500 0.0703
Sm1 0.1571 0.0088 0.7851
Sm2 0.2194 0.2500 0.0686
Sm3 0.4049 0.7500 0.3714
Tl1 0.4548 0.2500 0.3408
# Total magnetic moment (Bohr magnetons per cell): 0.000
# Calculated total energy (eV/atom): -4.41
# DFT formation energy (kJ/mol of formula units): -13